# HoCr2IO8 PBE with a Hubbard U optimized geometry
# Total moment ... 12.00 μB per cell
# Total DFT energy (no corrections) ... -0.4881 Ry/atom
data_HoCr2IO8
_chemical_formula_sum 'Ho2 Cr4 I2 O16'
_symmetry_space_group_name_H-M 'C m m m'
_symmetry_Int_Tables_number 65
_symmetry_space_group_name_Hall '-C 2 2'
_cell_length_a 6.6433
_cell_length_b 6.6667
_cell_length_c 6.4834
_cell_angle_alpha 90.00
_cell_angle_beta 90.00
_cell_angle_gamma 90.00
loop_
_atom_site_label
_atom_site_fract_x
_atom_site_fract_y
_atom_site_fract_z
Ho1 0.0000 0.0000 0.0000
Cr1 0.0000 0.5000 0.2459
I1 0.0000 0.0000 0.5000
O1 0.0000 0.2906 0.5000
O2 0.0000 0.3235 0.0000
O3 0.1931 0.0000 0.2831